No. 1
The following is a DFT calculation (PBE) of crystalline CdPbS2Cl at its relaxed geometry.

Space-group type: P4/mmm (123)
Total magnetic moment, μB/f.u.: 0.00
Crystal system: tetragonal
V, Å³ per cell: 145
DOS(E_F), states/eV/cell: 3.12
E_form (uncorrected), eV/atom: 0.127

abc: 5.2418 5.2418 5.2897
angles: 90.00 90.00 90.00
Sites, in units of the cell vectors:
S  0.5000  0.0000  0.0000
S  0.0000  0.5000  0.0000
Cl  0.0000  0.0000  0.5000
Pb  0.0000  0.0000  0.0000
Cd  0.5000  0.5000  0.5000

=====

No. 2
The following is a DFT calculation (PBE) of crystalline SrUB12 at its relaxed geometry.

Space-group type: P4/mmm (123)
Total magnetic moment, μB/f.u.: 2.92
Formation energy, eV/atom: -0.3558
Crystal system: tetragonal
V, Å³ per cell: 141
DOS(E_F), states/eV/cell: 7.63

abc: 4.1250 4.1250 8.2855
angles: 90.00 90.00 90.00
Site moments in Bohr magnetons follow the coordinates.
Sites, in units of the cell vectors:
B  0.5000  0.5000  0.3981  0.02
B  0.1993  0.5000  0.2464  0.00
B  0.5000  0.5000  0.9020  -0.02
B  0.5000  0.8007  0.2464  0.00
B  0.8007  0.5000  0.2464  0.00
B  0.5000  0.5000  0.0980  -0.02
B  0.5000  0.1993  0.2464  0.00
B  0.8007  0.5000  0.7536  0.00
B  0.5000  0.8007  0.7536  0.00
B  0.5000  0.5000  0.6019  0.02
B  0.1993  0.5000  0.7536  0.00
B  0.5000  0.1993  0.7536  0.00
Sr  0.0000  0.0000  0.5000  0.00
U  0.0000  0.0000  0.0000  2.56

=====

No. 3
The following is a DFT calculation (PBE) of crystalline RbBeV3 at its relaxed geometry.

Space-group type: Pm-3m (221)
Total magnetic moment, μB/f.u.: 0.00
Formation energy, eV/atom: 2.7795
Crystal system: cubic
V, Å³ per cell: 87
DOS(E_F), states/eV/cell: 1.41

abc: 4.4345 4.4345 4.4345
angles: 90.00 90.00 90.00
Sites, in units of the cell vectors:
Rb  0.0000  0.0000  0.0000
Be  0.5000  0.5000  0.5000
V  0.0000  0.5000  0.0000
V  0.0000  0.0000  0.5000
V  0.5000  0.0000  0.0000

=====

No. 4
The following is a DFT calculation (PBE) of crystalline Ba2GaNiI at its relaxed geometry.

Space-group type: P4/mmm (123)
Total magnetic moment, μB/f.u.: 0.00
Crystal system: tetragonal
V, Å³ per cell: 174
DOS(E_F), states/eV/cell: 3.14
E_form (uncorrected), eV/atom: -0.642

abc: 6.1606 6.1606 4.5840
angles: 90.00 90.00 90.00
Sites, in units of the cell vectors:
Ba  0.5000  0.0000  0.0000
Ba  0.0000  0.5000  0.0000
Ga  0.0000  0.0000  0.5000
I  0.5000  0.5000  0.5000
Ni  0.0000  0.0000  0.0000

=====

No. 5
The following is a DFT calculation (PBE) of crystalline VGaCl3 at its relaxed geometry.

Space-group type: Pm-3m (221)
Total magnetic moment, μB/f.u.: 3.85
Crystal system: cubic
V, Å³ per cell: 127
DOS(E_F), states/eV/cell: 11.04
E_form (uncorrected), eV/atom: -0.071

abc: 5.0210 5.0210 5.0210
angles: 90.00 90.00 90.00
Site moments in Bohr magnetons follow the coordinates.
Sites, in units of the cell vectors:
V  0.5000  0.5000  0.5000  3.27
Cl  0.0000  0.0000  0.5000  -0.01
Cl  0.5000  0.0000  0.0000  -0.01
Cl  0.0000  0.5000  0.0000  -0.01
Ga  0.0000  0.0000  0.0000  -0.01

=====

No. 6
The following is a DFT calculation (PBE) of crystalline Ta2Nb3Os at its relaxed geometry.

Space-group type: Cmmm (65)
Total magnetic moment, μB/f.u.: 0.00
Formation energy, eV/atom: -0.1732
Crystal system: orthorhombic
V, Å³ per cell: 209
DOS(E_F), states/eV/cell: 7.37

abc: 4.5979 7.2731 6.5816
angles: 90.00 90.00 71.57
Sites, in units of the cell vectors:
Nb  0.4997  0.0000  0.2449
Nb  0.5003  0.0000  0.7551
Nb  0.8314  0.3367  0.2440
Nb  0.1686  0.6633  0.7560
Nb  0.8319  0.3367  0.7560
Nb  0.1681  0.6633  0.2440
Ta  0.0000  0.0000  0.5000
Ta  0.3325  0.3350  0.5000
Ta  0.0000  0.0000  0.0000
Ta  0.6675  0.6650  0.5000
Os  0.6671  0.6659  0.0000
Os  0.3329  0.3341  0.0000

=====

No. 7
The following is a DFT calculation (PBE) of crystalline BiPCl at its relaxed geometry.

Space-group type: Cm (8)
Total magnetic moment, μB/f.u.: 0.00
Crystal system: monoclinic
V, Å³ per cell: 356
DOS(E_F), states/eV/cell: 0.31
E_form (uncorrected), eV/atom: -0.291

abc: 9.3263 4.1084 10.1799
angles: 90.00 114.25 90.00
Sites, in units of the cell vectors:
Bi  0.1291  0.5000  0.8359
Bi  0.5806  0.5000  0.7286
Bi  0.5806  0.0000  0.2286
Bi  0.1291  0.0000  0.3359
Cl  0.8275  0.0000  0.7819
Cl  0.5885  0.0000  0.9767
Cl  0.5885  0.5000  0.4767
Cl  0.8275  0.5000  0.2819
P  0.3612  0.0000  0.6130
P  0.1639  0.0000  0.6757
P  0.1639  0.5000  0.1757
P  0.3612  0.5000  0.1130

=====

No. 8
The following is a DFT calculation (PBE) of crystalline BeGeW at its relaxed geometry.

Space-group type: C2/m (12)
Total magnetic moment, μB/f.u.: 0.00
Formation energy, eV/atom: 0.5229
Crystal system: monoclinic
V, Å³ per cell: 82
DOS(E_F), states/eV/cell: 2.74

abc: 4.5618 4.5618 5.2264
angles: 91.57 122.98 110.18
Sites, in units of the cell vectors:
Be  0.2545  0.9646  0.2190
Be  0.7455  0.0354  0.7810
W  0.2301  0.6248  0.8549
W  0.7699  0.3752  0.1451
Ge  0.0000  0.0000  0.5000
Ge  0.5000  0.5000  0.5000

=====

No. 9
The following is a DFT calculation (PBE) of crystalline DyScIn2Pd4 at its relaxed geometry.

Space-group type: R-3m (166)
Total magnetic moment, μB/f.u.: 0.00
Formation energy, eV/atom: -0.8177
Crystal system: trigonal
V, Å³ per cell: 150
DOS(E_F), states/eV/cell: 5.34

abc: 4.7167 4.7167 8.2349
angles: 73.36 73.36 60.00
Sites, in units of the cell vectors:
In  0.7512  0.7512  0.7464
In  0.2488  0.2488  0.2536
Dy  0.0000  0.0000  0.0000
Pd  0.6199  0.6199  0.1403
Pd  0.1273  0.1273  0.6180
Pd  0.8727  0.8727  0.3820
Pd  0.3801  0.3801  0.8597
Sc  0.5000  0.5000  0.5000

=====

No. 10
The following is a DFT calculation (PBE) of crystalline WAu2I2 at its relaxed geometry.

Space-group type: P4/mbm (127)
Total magnetic moment, μB/f.u.: 3.57
Crystal system: tetragonal
V, Å³ per cell: 250
DOS(E_F), states/eV/cell: 9.83
E_form (uncorrected), eV/atom: 1.133

abc: 7.3140 7.3140 4.6649
angles: 90.00 90.00 90.00
Site moments in Bohr magnetons follow the coordinates.
Sites, in units of the cell vectors:
I  0.6904  0.8096  0.5000  0.01
I  0.8096  0.3096  0.5000  0.00
I  0.3096  0.1904  0.5000  0.01
I  0.1904  0.6904  0.5000  0.00
W  0.0000  0.0000  0.0000  2.57
W  0.5000  0.5000  0.0000  2.57
Au  0.3651  0.8651  0.0000  0.07
Au  0.6349  0.1349  0.0000  0.07
Au  0.8651  0.6349  0.0000  0.07
Au  0.1349  0.3651  0.0000  0.07

=====

No. 11
The following is a DFT calculation (PBE) of crystalline Ce2SmHo8 at its relaxed geometry.

Space-group type: C2/m (12)
Total magnetic moment, μB/f.u.: 1.61
Formation energy, eV/atom: 0.2009
Crystal system: monoclinic
V, Å³ per cell: 359
DOS(E_F), states/eV/cell: 22.64

abc: 5.4968 9.9875 9.9875
angles: 40.94 92.52 92.52
Site moments in Bohr magnetons follow the coordinates.
Sites, in units of the cell vectors:
Ho  0.2389  0.5466  0.5466  0.02
Ho  0.2648  0.6010  0.1357  0.02
Ho  0.2648  0.1357  0.6010  0.02
Ho  0.7352  0.8643  0.3990  0.02
Ho  0.7611  0.4534  0.4534  0.02
Ho  0.2333  0.1870  0.1870  0.06
Ho  0.7667  0.8130  0.8130  0.06
Ho  0.7352  0.3990  0.8643  0.02
Ce  0.2565  0.7139  0.7139  0.57
Ce  0.7435  0.2861  0.2861  0.57
Sm  0.0000  0.0000  0.0000  -0.01

=====

No. 12
The following is a DFT calculation (PBE) of crystalline Cs2KSb2 at its relaxed geometry.

Space-group type: P4/mbm (127)
Total magnetic moment, μB/f.u.: 0.00
Crystal system: tetragonal
V, Å³ per cell: 461
DOS(E_F), states/eV/cell: 7.88
E_form (uncorrected), eV/atom: -0.144

abc: 11.3905 11.3905 3.5519
angles: 90.00 90.00 90.00
Sites, in units of the cell vectors:
Cs  0.8834  0.6166  0.0000
Cs  0.1166  0.3834  0.0000
Cs  0.3834  0.8834  0.0000
Cs  0.6166  0.1166  0.0000
K  0.5000  0.5000  0.0000
K  0.0000  0.0000  0.0000
Sb  0.3192  0.1808  0.5000
Sb  0.6808  0.8192  0.5000
Sb  0.8192  0.3192  0.5000
Sb  0.1808  0.6808  0.5000

=====

No. 13
The following is a DFT calculation (PBE) of crystalline ZrBe2InHg at its relaxed geometry.

Space-group type: P4/mmm (123)
Total magnetic moment, μB/f.u.: 0.00
Formation energy, eV/atom: 0.6560
Crystal system: tetragonal
V, Å³ per cell: 108
DOS(E_F), states/eV/cell: 2.33

abc: 4.4356 5.5037 4.4356
angles: 90.00 90.00 90.00
Sites, in units of the cell vectors:
Zr  0.0000  0.5000  0.0000
Be  0.0000  0.0000  0.5000
Be  0.5000  0.0000  0.0000
Hg  0.0000  0.0000  0.0000
In  0.5000  0.5000  0.5000

=====

No. 14
The following is a DFT calculation (PBE) of crystalline Cs2PuZnF6 at its relaxed geometry.

Space-group type: P-3m1 (164)
Total magnetic moment, μB/f.u.: 4.00
Crystal system: trigonal
V, Å³ per cell: 278
E_form (uncorrected), eV/atom: -2.758

abc: 7.3112 6.6246 6.6246
angles: 120.00 90.00 90.00
Site moments in Bohr magnetons follow the coordinates.
Sites, in units of the cell vectors:
F  0.6574  0.6817  0.8409  -0.03
F  0.6574  0.1591  0.3183  -0.03
F  0.6574  0.1591  0.8409  -0.03
F  0.3426  0.3183  0.1591  -0.03
F  0.3426  0.8409  0.6817  -0.03
F  0.3426  0.8409  0.1591  -0.03
Cs  0.3107  0.3333  0.6667  0.00
Cs  0.6893  0.6667  0.3333  0.00
Pu  0.5000  0.0000  0.0000  4.12
Zn  0.0000  0.0000  0.0000  0.00

=====

No. 15
The following is a DFT calculation (PBE) of crystalline TbNiH8Rh2 at its relaxed geometry.

E, eV for the cell shown: -54.65
Space-group type: R-3 (148)
Total magnetic moment, μB/f.u.: 0.00
Crystal system: trigonal
V, Å³ per cell: 98
DOS(E_F), states/eV/cell: 2.49

abc: 4.5800 4.5800 5.9966
angles: 67.55 67.55 60.00
Sites, in units of the cell vectors:
H  0.6556  0.2826  0.1563
H  0.0945  0.3444  0.8437
H  0.9055  0.6556  0.1563
H  0.1846  0.1846  0.4461
H  0.8154  0.8154  0.5539
H  0.7174  0.0945  0.8437
H  0.3444  0.7174  0.8437
H  0.2826  0.9055  0.1563
Tb  0.5000  0.5000  0.5000
Rh  0.7131  0.7131  0.8606
Rh  0.2869  0.2869  0.1394
Ni  0.0000  0.0000  0.0000

=====

No. 16
The following is a DFT calculation (PBE) of crystalline Ac2YP3Pd12 at its relaxed geometry.

Space-group type: R-3m (166)
Total magnetic moment, μB/f.u.: 0.00
Formation energy, eV/atom: -0.5058
Crystal system: trigonal
V, Å³ per cell: 369
DOS(E_F), states/eV/cell: 6.46

abc: 7.5620 7.5620 7.5620
angles: 69.90 69.90 69.90
Sites, in units of the cell vectors:
Pd  0.1305  0.7122  0.7122
Pd  0.2878  0.8695  0.2878
Pd  0.3878  0.8559  0.8559
Pd  0.7122  0.1305  0.7122
Pd  0.8695  0.2878  0.2878
Pd  0.8559  0.8559  0.3878
Pd  0.1441  0.6122  0.1441
Pd  0.7122  0.7122  0.1305
Pd  0.2878  0.2878  0.8695
Pd  0.8559  0.3878  0.8559
Pd  0.6122  0.1441  0.1441
Pd  0.1441  0.1441  0.6122
Y  0.0000  0.0000  0.0000
P  0.0000  0.0000  0.5000
P  0.0000  0.5000  0.0000
P  0.5000  0.0000  0.0000
Ac  0.3941  0.3941  0.3941
Ac  0.6059  0.6059  0.6059

=====

No. 17
The following is a DFT calculation (PBE) of crystalline InSnS at its relaxed geometry.

Space-group type: P-1 (2)
Total magnetic moment, μB/f.u.: 0.00
Crystal system: triclinic
V, Å³ per cell: 166
DOS(E_F), states/eV/cell: 1.61
E_form (uncorrected), eV/atom: -0.221

abc: 3.8348 3.8339 13.6744
angles: 105.67 90.51 59.92
Sites, in units of the cell vectors:
S  0.2178  0.5391  0.6337
S  0.7822  0.4609  0.3664
In  0.5074  0.0055  0.2697
In  0.4926  0.9946  0.7303
Sn  0.2837  0.4400  0.0845
Sn  0.7163  0.5599  0.9155

=====

No. 18
The following is a DFT calculation (PBE) of crystalline TbSmSb at its relaxed geometry.

Space-group type: Cmcm (63)
Total magnetic moment, μB/f.u.: 0.00
Crystal system: orthorhombic
V, Å³ per cell: 173
DOS(E_F), states/eV/cell: 6.02
E_form (uncorrected), eV/atom: -0.442

abc: 5.9517 5.9517 5.9961
angles: 90.00 90.00 125.30
Sites, in units of the cell vectors:
Sm  0.5590  0.4410  0.7500
Sm  0.4410  0.5590  0.2500
Sb  0.1103  0.8897  0.2500
Sb  0.8897  0.1103  0.7500
Tb  0.7610  0.2390  0.2500
Tb  0.2390  0.7610  0.7500

=====

No. 19
The following is a DFT calculation (PBE) of crystalline LiScSb3 at its relaxed geometry.

Space-group type: Pm-3m (221)
Total magnetic moment, μB/f.u.: 0.00
Crystal system: cubic
V, Å³ per cell: 166
DOS(E_F), states/eV/cell: 3.21
E_form (uncorrected), eV/atom: -0.005

abc: 5.4973 5.4973 5.4973
angles: 90.00 90.00 90.00
Sites, in units of the cell vectors:
Sb  0.0000  0.0000  0.5000
Sb  0.5000  0.0000  0.0000
Sb  0.0000  0.5000  0.0000
Li  0.5000  0.5000  0.5000
Sc  0.0000  0.0000  0.0000

=====

No. 20
The following is a DFT calculation (PBE) of crystalline PPtBr2 at its relaxed geometry.

Space-group type: Immm (71)
Total magnetic moment, μB/f.u.: 0.00
Crystal system: orthorhombic
V, Å³ per cell: 95
DOS(E_F), states/eV/cell: 2.78
E_form (uncorrected), eV/atom: 0.270

abc: 8.0689 8.0689 8.0689
angles: 154.00 155.52 36.01
Sites, in units of the cell vectors:
P  0.7500  0.2500  0.5000
Br  0.0969  0.0969  0.0000
Br  0.4031  0.4031  0.0000
Pt  0.2500  0.7500  0.5000